1.
Se3Br (GGA-PBEsol, relaxed); uncorrected formation energy = 169 meV per atom; DFT total energy = -3.186 eV per atom; N(E_F) = 1.89 states/eV/f.u.
1.0
3.798 -6.923 0.000
3.798 6.923 0.000
0.000 0.000 3.805
Se Br
6 2
Direct
0.017 0.635 0.250
0.069 0.931 0.750
0.365 0.983 0.250
0.635 0.017 0.750
0.931 0.069 0.250
0.983 0.365 0.750
0.384 0.616 0.750
0.616 0.384 0.250

=====

2.
Cd2CoOs (GGA-PBEsol, relaxed); formation energy from the elements = 0.625 eV/atom; DFT total energy = -4.961 eV per atom; N(E_F) = 5.98 states/eV/f.u.
1.0
2.756 -4.173 0.000
2.756 4.173 0.000
0.000 0.000 2.713
Cd Co Os
2 1 1
Direct
0.000 0.500 0.000
0.500 0.000 0.000
0.000 0.000 0.500
0.500 0.500 0.500

=====

3.
LaY2Rh (GGA-PBEsol, relaxed); formation energy from the elements = -0.385 eV/atom; DFT total energy = -7.168 eV per atom; N(E_F) = 4.03 states/eV/f.u.
1.0
3.462 0.000 0.000
0.000 3.462 0.000
0.000 0.000 8.716
La Y Rh
1 2 1
Direct
0.000 0.000 0.000
0.500 0.500 0.316
0.500 0.500 0.684
0.000 0.000 0.500

=====

4.
MgInHg2 (GGA-PBEsol, relaxed); formation energy from the elements = -0.116 eV/atom; DFT total energy = -1.574 eV per atom; N(E_F) = 1.63 states/eV/f.u.
1.0
3.929 0.000 0.000
0.000 3.929 0.000
0.000 0.000 5.924
Mg In Hg
1 1 2
Direct
0.000 0.000 0.000
0.500 0.500 0.709
0.000 0.000 0.490
0.500 0.500 0.205